No. 1
FeAs GGA-PBE optimized geometry; energy of formation = 0.1109 eV/atom; space group = No. 70
1.0
0.0000 4.3391 5.6837
3.2619 0.0000 5.6837
3.2619 4.3391 0.0000
Fe As
4 4
Direct
0.0052 0.0052 0.2448
0.2448 0.2448 0.0052
0.7552 0.7552 0.9948
0.9948 0.9948 0.7552
0.0876 0.6624 0.0876
0.3376 0.9124 0.3376
0.6624 0.0876 0.6624
0.9124 0.3376 0.9124



No. 2
ReTeI2N GGA-PBE optimized geometry; space group = No. 123; formation energy from raw total energies = 1.902 eV/atom; ΔE to the lowest computed polymorph = 638 kJ/mol of formula units
1.0
4.7075 0.0000 0.0000
0.0000 4.7075 0.0000
0.0000 0.0000 4.7583
Re Te I N
1 1 2 1
Direct
0.0000 0.0000 0.0000
0.5000 0.5000 0.0000
0.0000 0.5000 0.5000
0.5000 0.0000 0.5000
0.5000 0.5000 0.5000



No. 3
SmCd2Hg6 GGA-PBE optimized geometry; energy of formation = -0.1472 eV/atom; space group = No. 12; ΔE to the lowest computed polymorph = 0 kJ/mol of formula units
1.0
3.1334 -7.8329 0.0000
3.1334 7.8329 0.0000
-2.0175 0.0000 4.6117
Sm Cd Hg
1 2 6
Direct
0.0000 0.0000 0.0000
0.1572 0.8428 0.5000
0.8428 0.1572 0.5000
0.1525 0.4903 0.1753
0.3509 0.3509 0.6772
0.4903 0.1525 0.1753
0.5097 0.8475 0.8247
0.6491 0.6491 0.3228
0.8475 0.5097 0.8247



no.,final energy (eV per atom),total magnetization (μB per cell)
1,-6.445,0.7
2,-3.501,0.0
3,-1.076,0.0